No. 1
Here is a relaxed Li2Ac5Pb4 crystal from Alexandria via LeMat-Bulk. Energies are from PBE.

DOS at the Fermi energy ... 0.7159 states/eV per atom
Energy of formation from the pure elements ... -305 meV per atom
Symmetry ... C2/m (12)

Geometry as extended XYZ:
```
11
Lattice="-0.404 3.941 -2.530 -4.615 -4.022 -5.527 -6.281 2.628 9.464" Properties=species:S:1:pos:R:3 pbc="T T T"
Pb -5.159 1.520 3.191
Pb -6.141 1.028 -1.784
Pb -3.190 -2.780 -3.820
Pb -8.110 5.327 5.227
Ac -0.202 1.970 -1.265
Ac -6.340 -2.239 -2.475
Ac -3.915 -0.125 0.430
Ac -7.385 2.673 0.977
Ac -4.960 4.787 3.882
Li -7.649 2.254 4.733
Li -3.650 0.294 -3.326
```


No. 2
Here is a relaxed Ho2Ni6HPt crystal from Alexandria via LeMat-Bulk. Energies are from PBE.

DOS at the Fermi energy ... 0.9865 states/eV per atom
Symmetry ... Immm (71)

Geometry as extended XYZ:
```
10
Lattice="5.879 0.004 0.003 0.004 5.886 0.003 2.944 2.947 4.166" Properties=species:S:1:pos:R:3 pbc="T T T"
Ni 7.587 4.186 4.169
Ni 4.646 4.652 0.007
Ni 1.239 4.651 0.003
Ni 5.883 5.889 1.758
Ni 4.181 4.185 4.165
Ni 2.944 2.947 2.414
Ho 2.943 5.890 2.087
Ho 5.883 2.947 2.085
Pt 2.941 2.945 0.003
H 0.000 0.000 0.000
```


No. 3
Here is a relaxed SiPd2PbSe crystal from Alexandria via LeMat-Bulk. Energies are from PBE.

DOS at the Fermi energy ... 0.6377 states/eV per atom
Symmetry ... P4/mmm (123)
Formation energy without anion corrections ... 0.180 eV/atom

Geometry as extended XYZ:
```
5
Lattice="-1.045 2.593 -3.594 -1.779 -4.558 -2.772 -4.191 0.622 1.667" Properties=species:S:1:pos:R:3 pbc="T T T"
Pd -0.522 1.297 -1.797
Pd -2.096 0.311 0.834
Si 0.000 0.000 0.000
Pb -0.890 -2.279 -1.386
Se -3.508 -0.671 -2.349
```


No. 4
Here is a relaxed BaSnPSe2 crystal from Alexandria via LeMat-Bulk. Energies are from PBE.

DOS at the Fermi energy ... 0.7886 states/eV per atom
Symmetry ... P4/mmm (123)
Formation energy without anion corrections ... 0.201 eV/atom

Geometry as extended XYZ:
```
5
Lattice="-0.637 -2.418 -4.507 -1.727 -6.198 3.570 -4.970 1.367 -0.031" Properties=species:S:1:pos:R:3 pbc="T T T"
Se -0.319 -1.209 -2.254
Se -2.485 0.684 -0.015
Ba -0.864 -3.099 1.785
P -3.667 -3.625 -0.484
Sn 0.000 0.000 0.000
```


No. 5
Here is a relaxed Cd4BiSb crystal from Alexandria via LeMat-Bulk. Energies are from PBE.

DOS at the Fermi energy ... 0.3324 states/eV per atom
Offset from the most stable computed form ... 0.0000 eV/atom
Symmetry ... Cm (8)
Formation energy without anion corrections ... 0.021 eV/atom

Geometry as extended XYZ:
```
6
Lattice="-3.250 2.135 3.574 -4.354 -2.756 -1.141 3.052 -4.442 3.894" Properties=species:S:1:pos:R:3 pbc="T T T"
Cd -3.639 -4.792 3.703
Cd -0.896 -0.232 2.624
Cd -3.167 -2.700 5.717
Cd -1.369 -2.326 0.604
Bi -0.754 -4.736 5.113
Sb -2.846 -4.959 0.811
```


No. 6
Here is a relaxed Ag2PdCl8 crystal from Alexandria via LeMat-Bulk. Energies are from PBE.

DOS at the Fermi energy ... 1.2101 states/eV per atom
Offset from the most stable computed form ... 0.0137 eV/atom
Symmetry ... C2/m (12)
Formation energy without anion corrections ... -0.204 eV/atom

Geometry as extended XYZ:
```
11
Lattice="-0.639 -3.133 5.347 -4.117 -5.690 -2.225 3.938 -6.050 -1.473" Properties=species:S:1:pos:R:3 pbc="T T T"
Ag -0.589 -11.436 0.834
Ag -0.230 -3.438 0.815
Cl -0.273 -5.696 0.195
Cl -0.546 -9.178 1.454
Cl -0.505 -4.378 3.319
Cl -0.313 -10.496 -1.670
Cl 2.186 -7.458 -0.790
Cl -3.005 -7.416 2.438
Cl -2.654 -7.242 -1.242
Cl 1.835 -7.632 2.890
Pd 0.000 0.000 0.000
```


No. 7
Here is a relaxed Zr3AsN crystal from Alexandria via LeMat-Bulk. Energies are from PBE.

DOS at the Fermi energy ... 1.7506 states/eV per atom
Offset from the most stable computed form ... 0.5183 eV/atom
Symmetry ... Pm-3m (221)
Formation energy without anion corrections ... -0.775 eV/atom

Geometry as extended XYZ:
```
5
Lattice="4.452 0.000 0.000 0.000 4.452 0.000 0.000 0.000 4.452" Properties=species:S:1:pos:R:3 pbc="T T T"
Zr 0.000 0.000 2.226
Zr 0.000 2.226 0.000
Zr 2.226 0.000 0.000
As 2.226 2.226 2.226
N 0.000 0.000 0.000
```


No. 8
Here is a relaxed Li4AgH2 crystal from Alexandria via LeMat-Bulk. Energies are from PBE.

DOS at the Fermi energy ... 0.3517 states/eV per atom
Symmetry ... I4/mmm (139)

Geometry as extended XYZ:
```
7
Lattice="-0.946 4.395 -1.661 -3.325 -1.824 -2.932 -5.868 1.931 1.536" Properties=species:S:1:pos:R:3 pbc="T T T"
Li -1.662 -0.912 -1.466
Li -6.107 2.889 -2.707
Li -4.032 1.614 -0.350
Li -0.473 2.198 -0.831
H -2.829 1.406 -1.585
H -7.311 3.097 -1.472
Ag 0.000 0.000 0.000
```


Computed energy (Ry per atom) in order:
-0.284, -0.410, -0.325, -0.254, -0.141, -0.187, -0.625, -0.165